Ho5OsPd2: relaxed, PBE.

**Space-group type**: I4/mcm
**N(E_F)**: 0.825 states/eV/atom
**Density**: 10.8 g cm⁻³
**Calculated volume**: 379.27 Å³/cell
**DFT formation energy**: -0.558 eV/atom
**Electronic total energy**: -6.12 eV per atom

a = 7.1516 Å, b = 7.1516 Å, c = 8.9758 Å
α = 113.48°, β = 113.48°, γ = 90.00°
Closest atoms and distances in Å follow each position.
Sites, in units of the cell vectors:
Os1 0.2500 0.2500 0.5000  8 Ho 3.02
Os2 0.7500 0.7500 0.5000  8 Ho 3.02
Ho1 0.5222 0.6741 0.6963  3 Pd 2.99-3.15, 2 Os 3.02, 1 Ho 3.29
Ho2 0.0000 0.0000 0.0000  4 Pd 2.80
Ho3 0.4778 0.3259 0.3037  3 Pd 2.99-3.15, 2 Os 3.02, 1 Ho 3.29
Ho4 0.9778 0.4778 0.3037  3 Pd 2.99-3.15, 2 Os 3.02, 1 Ho 3.29
Ho5 0.6741 0.1741 0.6963  3 Pd 2.99-3.15, 2 Os 3.02, 1 Ho 3.29
Ho6 0.1741 0.0222 0.6963  3 Pd 2.99-3.15, 2 Os 3.02, 1 Ho 3.29
Ho7 0.3259 0.8259 0.3037  3 Pd 2.99-3.15, 2 Os 3.02, 1 Ho 3.29
Ho8 0.5000 0.5000 0.0000  4 Pd 2.80
Ho9 0.8259 0.9778 0.3037  3 Pd 2.99-3.15, 2 Os 3.02, 1 Ho 3.29
Ho10 0.0222 0.5222 0.6963  3 Pd 2.99-3.15, 2 Os 3.02, 1 Ho 3.29
Pd1 0.1315 0.3685 0.0000  1 Pd 2.66, 2 Ho 2.80
Pd2 0.6315 0.1315 0.0000  1 Pd 2.66, 2 Ho 2.80
Pd3 0.3685 0.8685 0.0000  1 Pd 2.66, 2 Ho 2.80
Pd4 0.8685 0.6315 0.0000  1 Pd 2.66, 2 Ho 2.80

---

Ho8Os2Pd: relaxed, PBE.

**Space-group type**: Cm
**N(E_F)**: 0.817 states/eV/atom
**Density**: 10.3 g cm⁻³
**Calculated volume**: 291.04 Å³/cell
**DFT formation energy**: -0.274 eV/atom
**Electronic total energy**: -6.12 eV per atom

a = 5.7205 Å, b = 7.5513 Å, c = 7.5513 Å
α = 111.15°, β = 99.48°, γ = 99.48°
Closest atoms and distances in Å follow each position.
Sites, in units of the cell vectors:
Os1 0.4914 0.6925 0.3166  8 Ho 2.79-3.06
Os2 0.4914 0.3166 0.6925  8 Ho 2.79-3.06
Ho1 0.3917 0.9326 0.6692  2 Os 2.80-2.84
Ho2 0.9908 0.2270 0.7773  1 Pd 2.87, 2 Os 3.06
Ho3 0.5857 0.3387 0.0752  2 Os 2.79-2.83
Ho4 0.7952 0.6317 0.6317  2 Os 2.93, 1 Pd 3.13
Ho5 0.3917 0.6692 0.9326  2 Os 2.80-2.84
Ho6 0.1854 0.3718 0.3718  2 Os 2.95, 1 Pd 3.06
Ho7 0.5857 0.0752 0.3387  2 Os 2.79-2.83
Ho8 0.9908 0.7773 0.2270  1 Pd 2.87, 2 Os 3.06
Pd1 0.0998 0.0013 0.0013  6 Ho 2.87-3.17

---

Ho12OsPd6: relaxed, PBE.

**Space-group type**: R-3
**N(E_F)**: 0.859 states/eV/atom
**Density**: 8.9 g cm⁻³
**Calculated volume**: 526.44 Å³/cell
**DFT formation energy**: -0.514 eV/atom
**Electronic total energy**: -5.64 eV per atom

a = 8.1956 Å, b = 8.1956 Å, c = 8.1956 Å
α = 99.23°, β = 99.23°, γ = 99.23°
Closest atoms and distances in Å follow each position.
Sites, in units of the cell vectors:
Ho1 0.9185 0.0395 0.6799  1 Os 2.69, 2 Pd 2.88
Ho2 0.0815 0.9605 0.3201  1 Os 2.69, 2 Pd 2.88
Ho3 0.4163 0.5757 0.1794  4 Pd 2.78-3.00
Ho4 0.8206 0.5837 0.4243  4 Pd 2.78-3.00
Ho5 0.5757 0.1794 0.4163  4 Pd 2.78-3.00
Ho6 0.1794 0.4163 0.5757  4 Pd 2.78-3.00
Ho7 0.9605 0.3201 0.0815  1 Os 2.69, 2 Pd 2.88
Ho8 0.6799 0.9185 0.0395  1 Os 2.69, 2 Pd 2.88
Ho9 0.0395 0.6799 0.9185  1 Os 2.69, 2 Pd 2.88
Ho10 0.5837 0.4243 0.8206  4 Pd 2.78-3.00
Ho11 0.3201 0.0815 0.9605  1 Os 2.69, 2 Pd 2.88
Ho12 0.4243 0.8206 0.5837  4 Pd 2.78-3.00
Pd1 0.3783 0.6831 0.8654  6 Ho 2.78-3.00
Pd2 0.6831 0.8654 0.3783  6 Ho 2.78-3.00
Pd3 0.6217 0.3169 0.1346  6 Ho 2.78-3.00
Pd4 0.1346 0.6217 0.3169  6 Ho 2.78-3.00
Pd5 0.3169 0.1346 0.6217  6 Ho 2.78-3.00
Pd6 0.8654 0.3783 0.6831  6 Ho 2.78-3.00
Os1 0.0000 0.0000 0.0000  6 Ho 2.69

---

Ho2OsPd: relaxed, PBE.

**Space-group type**: P4/mmm
**E above lowest polymorph**: 0.000 eV per atom
**N(E_F)**: 0.528 states/eV/atom
**Density**: 12.8 g cm⁻³
**Calculated volume**: 81.43 Å³/cell
**DFT formation energy**: -0.596 eV/atom
**Electronic total energy**: -6.99 eV per atom

a = 3.4235 Å, b = 3.4235 Å, c = 6.9477 Å
α = 90.00°, β = 90.00°, γ = 90.00°
Closest atoms and distances in Å follow each position.
Sites, in units of the cell vectors:
Os1 0.5000 0.5000 0.0000  8 Ho 2.93
Pd1 0.5000 0.5000 0.5000  8 Ho 3.03
Ho1 0.0000 0.0000 0.2386  4 Os 2.93, 4 Pd 3.03
Ho2 0.0000 0.0000 0.7614  4 Os 2.93, 4 Pd 3.03

---

Ho8OsPd2: relaxed, PBE.

**Space-group type**: Cm
**E above lowest polymorph**: 0.094 eV per atom
**N(E_F)**: 1.067 states/eV/atom
**Density**: 9.7 g cm⁻³
**Calculated volume**: 295.95 Å³/cell
**DFT formation energy**: -0.316 eV/atom
**Electronic total energy**: -5.61 eV per atom

a = 5.9370 Å, b = 7.6739 Å, c = 7.6739 Å
α = 115.11°, β = 100.98°, γ = 100.98°
Closest atoms and distances in Å follow each position.
Sites, in units of the cell vectors:
Ho1 0.9884 0.7927 0.2064  1 Os 2.85
Ho2 0.9884 0.2064 0.7927  1 Os 2.85
Ho3 0.1655 0.3573 0.3573  1 Os 2.90, 2 Pd 3.13
Ho4 0.3760 0.6699 0.9180  2 Pd 2.82-2.89, 1 Os 2.98
Ho5 0.5780 0.0881 0.3365  2 Pd 2.80-2.85, 1 Os 2.98
Ho6 0.8150 0.6480 0.6480  1 Os 2.89, 2 Pd 3.11
Ho7 0.5780 0.3365 0.0881  2 Pd 2.80-2.85, 1 Os 2.98
Ho8 0.3760 0.9180 0.6699  2 Pd 2.82-2.89, 1 Os 2.98
Os1 0.1523 0.0023 0.0023  8 Ho 2.85-2.98
Pd1 0.4911 0.3146 0.7001  6 Ho 2.80-3.13
Pd2 0.4911 0.7001 0.3146  6 Ho 2.80-3.13

---

Ho2OsPd: relaxed, PBE.

**Space-group type**: R-3m
**E above lowest polymorph**: 0.703 eV per atom
**N(E_F)**: 0.392 states/eV/atom
**Density**: 11.7 g cm⁻³
**Calculated volume**: 89.05 Å³/cell
**DFT formation energy**: 0.107 eV/atom
**Electronic total energy**: -6.29 eV per atom

a = 3.3047 Å, b = 3.3047 Å, c = 9.6063 Å
α = 80.10°, β = 80.10°, γ = 60.00°
Closest atoms and distances in Å follow each position.
Sites, in units of the cell vectors:
Os1 0.5000 0.5000 0.5000  6 Ho 2.81
Ho1 0.9064 0.9064 0.2809  1 Pd 2.64, 3 Os 2.81
Ho2 0.0936 0.0936 0.7191  1 Pd 2.64, 3 Os 2.81
Pd1 0.0000 0.0000 0.0000  2 Ho 2.64